Entry 1:
First-principles (PBE) data for crystalline ZnNiBr at its relaxed geometry, as listed in Alexandria via LeMat-Bulk.

Summary:
excess energy over the best structure of this formula in the dataset: 122 meV/atom
formation energy (no corrections): -0.3 eV/f.u.
V: 58.6 Å³/f.u.

Cell: 11.515 6.122 3.487 Å, 90.00 107.55 90.00°
Space group C2/m (No. 12)
Asymmetric unit:
1 Zn 0.119 0.000 0.119 x4
2 Ni 0.000 0.199 0.500 x4
3 Br 0.150 0.500 0.656 x4

***

Entry 2:
First-principles (PBE) data for crystalline Ti2CrSn at its relaxed geometry, as listed in Alexandria via LeMat-Bulk.

Summary:
formation energy from the elements: 0.340 eV per atom
V: 70.4 Å³/f.u.

Cell: 7.220 7.220 5.400 Å, 90.00 90.00 90.00°
Space group I-42d (No. 122)
Asymmetric unit:
1 Ti 0.199 0.250 0.125 x8
2 Cr 0.000 0.000 0.000 x4
3 Sn 0.000 0.000 0.500 x4

***

Entry 3:
First-principles (PBE) data for crystalline LiAlZnH6 at its relaxed geometry, as listed in Alexandria via LeMat-Bulk.

Summary:
DFT total energy: -54.702 eV/cell
V: 78.7 Å³/f.u.

Cell: 4.6101 4.6101 8.5501 Å, 90.00 90.00 120.00°
Space group P-31c (No. 163)
Asymmetric unit:
1 Li 0.0000 0.0000 0.0000 x2
2 Al 0.3333 0.6667 0.2500 x2
3 Zn 0.3333 0.6667 0.7500 x2
4 H 0.0128 0.3577 0.1342 x12

***

Entry 4:
First-principles (PBE) data for crystalline CsNaBi2Te4 at its relaxed geometry, as listed in Alexandria via LeMat-Bulk.

Summary:
formation energy (no corrections): -3.9 eV/f.u.
V: 308.1 Å³/f.u.

Cell: 4.697 15.619 16.796 Å, 90.00 90.00 90.00°
Space group Cmcm (No. 63)
Asymmetric unit:
1 Cs 0.000 0.117 0.250 x4
2 Na 0.000 0.170 0.750 x4
3 Bi 0.000 0.369 0.065 x8
4 Te 0.000 0.000 0.000 x4
5 Te 0.000 0.264 0.596 x8
6 Te 0.000 0.437 0.250 x4

***

Entry 5:
First-principles (PBE) data for crystalline Zr2NbCr2 at its relaxed geometry, as listed in Alexandria via LeMat-Bulk.

Summary:
formation energy from the elements: 0.290 eV per atom
V: 89.4 Å³/f.u.

Cell: 7.279 7.279 3.376 Å, 90.00 90.00 90.00°
Space group P4/mbm (No. 127)
Asymmetric unit:
1 Zr 0.200 0.300 0.000 x4
2 Nb 0.000 0.000 0.500 x2
3 Cr 0.096 0.596 0.500 x4

***

Entry 6:
First-principles (PBE) data for crystalline Li2CaTe at its relaxed geometry, as listed in Alexandria via LeMat-Bulk.

Summary:
formation energy (no corrections): -2.5 eV/f.u.
V: 128.8 Å³/f.u.

Cell: 14.271 4.343 4.341 Å, 90.00 106.85 90.00°
Space group C2/m (No. 12)
Asymmetric unit:
1 Li 0.200 0.000 0.203 x4
2 Ca 0.000 0.500 0.500 x2
3 Te 0.000 0.000 0.000 x2